A plane-wave DFT calculation with PBE was carried out for a relaxed PrSi4Pt2 crystal.

Unit cell a=17.2171 b=4.2292 c=6.6847 alpha=90.00 beta=90.00 gamma=90.00
Sites, in units of the cell vectors:
Pr 0.1474 0.2500 0.0257
Pr 0.3526 0.7500 0.5257
Pr 0.6474 0.2500 0.4743
Pr 0.8526 0.7500 0.9743
Si 0.0390 0.7500 0.8648
Si 0.0590 0.2500 0.4559
Si 0.1684 0.7500 0.3448
Si 0.1888 0.7500 0.7289
Si 0.3112 0.2500 0.2289
Si 0.3316 0.2500 0.8448
Si 0.4410 0.7500 0.9559
Si 0.4610 0.2500 0.3648
Si 0.5390 0.7500 0.6352
Si 0.5590 0.2500 0.0441
Si 0.6684 0.7500 0.1552
Si 0.6888 0.7500 0.7711
Si 0.8112 0.2500 0.2711
Si 0.8316 0.2500 0.6552
Si 0.9410 0.7500 0.5441
Si 0.9610 0.2500 0.1352
Pt 0.0215 0.7500 0.2451
Pt 0.2003 0.2500 0.5266
Pt 0.2997 0.7500 0.0266
Pt 0.4785 0.2500 0.7451
Pt 0.5215 0.7500 0.2549
Pt 0.7003 0.2500 0.9734
Pt 0.7997 0.7500 0.4734
Pt 0.9785 0.2500 0.7549

---

A plane-wave DFT calculation with PBE was carried out for a relaxed Pr3Si2Pt7 crystal.

Unit cell a=14.5865 b=14.5865 c=4.0973 alpha=90.00 beta=90.00 gamma=163.39
Sites, in units of the cell vectors:
Pr 0.0000 0.0000 0.0000
Pr 0.1991 0.8009 0.0000
Pr 0.8009 0.1991 0.0000
Si 0.4186 0.5814 0.5000
Si 0.5814 0.4186 0.5000
Pt 0.1212 0.8788 0.5000
Pt 0.2875 0.7125 0.5000
Pt 0.3772 0.6228 0.0000
Pt 0.5000 0.5000 0.5000
Pt 0.6228 0.3772 0.0000
Pt 0.7125 0.2875 0.5000
Pt 0.8788 0.1212 0.5000

---

A plane-wave DFT calculation with PBE was carried out for a relaxed Pr2SiPt crystal.

Unit cell a=5.8743 b=4.3049 c=8.3762 alpha=90.00 beta=108.04 gamma=90.00
Sites, in units of the cell vectors:
Pr 0.2019 0.2500 0.4177
Pr 0.2807 0.7500 0.0658
Pr 0.7193 0.2500 0.9342
Pr 0.7981 0.7500 0.5823
Si 0.3563 0.7500 0.7105
Si 0.6437 0.2500 0.2895
Pt 0.1582 0.2500 0.7842
Pt 0.8418 0.7500 0.2158

---

A plane-wave DFT calculation with PBE was carried out for a relaxed PrSi3Pt5 crystal.

Unit cell a=6.5626 b=6.5626 c=12.8346 alpha=90.00 beta=90.00 gamma=145.11
Sites, in units of the cell vectors:
Pr 0.1563 0.8437 0.7500
Pr 0.8437 0.1563 0.2500
Si 0.1149 0.8851 0.2500
Si 0.3852 0.6148 0.0379
Si 0.3852 0.6148 0.4621
Si 0.6148 0.3852 0.5379
Si 0.6148 0.3852 0.9621
Si 0.8851 0.1149 0.7500
Pt 0.0000 0.0000 0.0000
Pt 0.0000 0.0000 0.5000
Pt 0.2087 0.7913 0.0825
Pt 0.2087 0.7913 0.4175
Pt 0.4531 0.5469 0.6460
Pt 0.4531 0.5469 0.8540
Pt 0.5469 0.4531 0.1460
Pt 0.5469 0.4531 0.3540
Pt 0.7913 0.2087 0.5825
Pt 0.7913 0.2087 0.9175

---

A plane-wave DFT calculation with PBE was carried out for a relaxed PrSiPt crystal.

Unit cell a=4.1886 b=4.1886 c=4.3440 alpha=90.00 beta=90.00 gamma=120.00
Sites, in units of the cell vectors:
Pr 0.0000 0.0000 0.0000
Si 0.3333 0.6667 0.5000
Pt 0.6667 0.3333 0.5000

---

A plane-wave DFT calculation with PBE was carried out for a relaxed PrSi2Pt3 crystal.

Unit cell a=7.8840 b=7.8840 c=7.5761 alpha=113.25 beta=113.25 gamma=30.22
Sites, in units of the cell vectors:
Pr 0.1569 0.1569 0.0784
Pr 0.8431 0.8431 0.9216
Si 0.1792 0.1792 0.6523
Si 0.4850 0.4850 0.8330
Si 0.5150 0.5150 0.1670
Si 0.8208 0.8208 0.3477
Pt 0.0338 0.0338 0.3446
Pt 0.3200 0.3200 0.5802
Pt 0.3871 0.3871 0.2790
Pt 0.6129 0.6129 0.7210
Pt 0.6800 0.6800 0.4198
Pt 0.9662 0.9662 0.6554

---

A plane-wave DFT calculation with PBE was carried out for a relaxed Pr2Si3Pt9 crystal.

Unit cell a=7.7603 b=7.7603 c=10.2726 alpha=112.94 beta=112.94 gamma=59.56
Sites, in units of the cell vectors:
Pr 0.0869 0.2574 0.2489
Pr 0.2574 0.0869 0.7489
Pr 0.7426 0.9131 0.2511
Pr 0.9131 0.7426 0.7511
Si 0.0000 0.5000 0.0000
Si 0.1442 0.6791 0.5023
Si 0.3209 0.8558 0.9977
Si 0.5000 0.0000 0.5000
Si 0.6791 0.1442 0.0023
Si 0.8558 0.3209 0.4977
Pt 0.0147 0.8621 0.0760
Pt 0.1379 0.9853 0.4240
Pt 0.1941 0.3591 0.5713
Pt 0.2051 0.5847 0.2608
Pt 0.3072 0.4904 0.9456
Pt 0.3591 0.1941 0.0713
Pt 0.3612 0.6388 0.7500
Pt 0.4153 0.7949 0.2392
Pt 0.4904 0.3072 0.4456
Pt 0.5096 0.6928 0.5544
Pt 0.5847 0.2051 0.7608
Pt 0.6388 0.3612 0.2500
Pt 0.6409 0.8059 0.9287
Pt 0.6928 0.5096 0.0544
Pt 0.7949 0.4153 0.7392
Pt 0.8059 0.6409 0.4287
Pt 0.8621 0.0147 0.5760
Pt 0.9853 0.1379 0.9240

---

A plane-wave DFT calculation with PBE was carried out for a relaxed Pr2Si5Pt3 crystal.

Unit cell a=8.2862 b=8.2862 c=8.2862 alpha=105.61 beta=90.31 gamma=136.51
Sites, in units of the cell vectors:
Pr 0.1289 0.2333 0.3622
Pr 0.3711 0.7333 0.1044
Pr 0.6289 0.2667 0.8956
Pr 0.8711 0.7667 0.6378
Si 0.0206 0.7500 0.2706
Si 0.1133 0.6487 0.7620
Si 0.2500 0.2500 0.0000
Si 0.3867 0.1487 0.5354
Si 0.4794 0.7500 0.7294
Si 0.5206 0.2500 0.2706
Si 0.6133 0.8513 0.4646
Si 0.7500 0.7500 0.0000
Si 0.8867 0.3513 0.2380
Si 0.9794 0.2500 0.7294
Pt 0.1357 0.8902 0.0259
Pt 0.2500 0.7500 0.5000
Pt 0.3643 0.3902 0.7544
Pt 0.6357 0.6098 0.2456
Pt 0.7500 0.2500 0.5000
Pt 0.8643 0.1098 0.9741

---

Volume: 17.4 20.8 25.2 17.6 22.0 18.0 17.0 18.0 (Å³ per atom)
ΔE_f (raw): -0.649 -0.883 -0.884 -0.875 -1.090 -0.968 -0.863 -0.990 (eV per atom)